No. 1
# TcHg3Cl

TcHg3Cl after structural relaxation (GGA-PBE, Alexandria via LeMat-Bulk).

CIF file:
```
data_TcHg3Cl
_symmetry_space_group_name_H-M 'P 1'
_symmetry_Int_Tables_number 1
_symmetry_space_group_name_Hall 'P 1'
_cell_length_a 5.652
_cell_length_b 5.652
_cell_length_c 5.652
_cell_angle_alpha 90.00
_cell_angle_beta 90.00
_cell_angle_gamma 90.00
loop_
_atom_site_label
_atom_site_type_symbol
_atom_site_fract_x
_atom_site_fract_y
_atom_site_fract_z
Hg1 Hg 0.000 0.500 0.000
Hg2 Hg 0.000 0.000 0.500
Hg3 Hg 0.500 0.000 0.000
Tc1 Tc 0.500 0.500 0.500
Cl1 Cl 0.000 0.000 0.000
```

Properties
Symmetry: No. 221
Formation energy (no corrections) in meV/atom: 1236
Distance to the lowest polymorph of the same formula in meV/atom: 724.6
Calculated total energy in eV per atom: -1.388

No. 2
# Mg2Nb2Se

Mg2Nb2Se after structural relaxation (GGA-PBE, Alexandria via LeMat-Bulk).

CIF file:
```
data_Mg2Nb2Se
_symmetry_space_group_name_H-M 'P 1'
_symmetry_Int_Tables_number 1
_symmetry_space_group_name_Hall 'P 1'
_cell_length_a 6.594
_cell_length_b 6.594
_cell_length_c 4.763
_cell_angle_alpha 90.00
_cell_angle_beta 90.00
_cell_angle_gamma 90.00
loop_
_atom_site_label
_atom_site_type_symbol
_atom_site_fract_x
_atom_site_fract_y
_atom_site_fract_z
Nb1 Nb 0.355 0.855 0.000
Nb2 Nb 0.645 0.145 0.000
Nb3 Nb 0.145 0.355 0.000
Nb4 Nb 0.855 0.645 0.000
Mg1 Mg 0.153 0.653 0.500
Mg2 Mg 0.653 0.847 0.500
Mg3 Mg 0.847 0.347 0.500
Mg4 Mg 0.347 0.153 0.500
Se1 Se 0.000 0.000 0.000
Se2 Se 0.500 0.500 0.000
```

Properties
Symmetry: No. 127
Formation energy (no corrections) in meV/atom: -43
Distance to the lowest polymorph of the same formula in meV/atom: 0.0
Calculated total energy in eV per atom: -5.405

No. 3
# FeReP2Os

FeReP2Os after structural relaxation (GGA-PBE, Alexandria via LeMat-Bulk).

CIF file:
```
data_FeReP2Os
_symmetry_space_group_name_H-M 'P 1'
_symmetry_Int_Tables_number 1
_symmetry_space_group_name_Hall 'P 1'
_cell_length_a 4.450
_cell_length_b 4.822
_cell_length_c 4.450
_cell_angle_alpha 90.00
_cell_angle_beta 90.00
_cell_angle_gamma 90.00
loop_
_atom_site_label
_atom_site_type_symbol
_atom_site_fract_x
_atom_site_fract_y
_atom_site_fract_z
P1 P 0.000 0.000 0.500
P2 P 0.500 0.000 0.000
Os1 Os 0.500 0.500 0.500
Fe1 Fe 0.000 0.500 0.000
Re1 Re 0.000 0.000 0.000
```

Properties
Symmetry: No. 123
Formation energy from the elements in meV per atom: 1580
Calculated total energy in eV per atom: -7.012

No. 4
# TbZrV4

TbZrV4 after structural relaxation (GGA-PBE, Alexandria via LeMat-Bulk).

CIF file:
```
data_TbZrV4
_symmetry_space_group_name_H-M 'P 1'
_symmetry_Int_Tables_number 1
_symmetry_space_group_name_Hall 'P 1'
_cell_length_a 5.280
_cell_length_b 5.280
_cell_length_c 5.280
_cell_angle_alpha 60.00
_cell_angle_beta 60.00
_cell_angle_gamma 60.00
loop_
_atom_site_label
_atom_site_type_symbol
_atom_site_fract_x
_atom_site_fract_y
_atom_site_fract_z
V1 V 0.125 0.625 0.625
V2 V 0.625 0.625 0.125
V3 V 0.625 0.625 0.625
V4 V 0.625 0.125 0.625
Tb1 Tb 0.000 0.000 0.000
Zr1 Zr 0.250 0.250 0.250
```

Properties
Symmetry: No. 216
Formation energy from the elements in meV per atom: 231
Calculated total energy in eV per atom: -8.044